Material: LaTi2F2
Method: DFT, PBE
State: relaxed

Results
- M_tot (μB per formula unit) = 0.09
- energy above the lowest structure with this stoichiometry (kJ/mol of atoms) = 0.0
- energy relative to the elements, uncorrected (eV/f.u.) = -6.52
- calculated volume (Å³ per cell) = 87

Cell and atoms, written as POSCAR:
```
LaTi2F2
1.0
3.317 0.000 0.000
0.000 3.317 0.000
1.659 1.659 7.897
F Ti La
2 2 1
Cartesian
3.317 1.659 3.948
1.659 3.317 3.948
1.659 1.659 2.492
3.317 3.317 5.404
0.000 0.000 0.000
```

***

Material: Fe2B2Os
Method: DFT, PBE
State: relaxed

Results
- M_tot (μB per formula unit) = 0.00
- energy above the lowest structure with this stoichiometry (kJ/mol of atoms) = 55.6
- calculated volume (Å³ per cell) = 96

Cell and atoms, written as POSCAR:
```
Fe2B2Os
1.0
6.197 0.000 0.000
0.000 6.197 0.000
0.000 0.000 2.492
B Os Fe
4 2 4
Cartesian
5.148 2.050 1.246
4.147 5.148 1.246
2.050 1.049 1.246
1.049 4.147 1.246
0.000 0.000 0.000
3.098 3.098 0.000
0.787 2.311 0.000
2.311 5.409 0.000
5.409 3.886 0.000
3.886 0.787 0.000
```

***

Material: NaPr2RuO5
Method: DFT, PBE
State: relaxed

Results
- M_tot (μB per formula unit) = 3.00
- energy relative to the elements, uncorrected (eV/f.u.) = -20.02
- calculated volume (Å³ per cell) = 278

Cell and atoms, written as POSCAR:
```
NaPr2RuO5
1.0
-0.478 5.598 1.522
-4.318 1.068 -5.284
-5.361 -1.563 4.065
O Ru Pr Na
10 2 4 2
Cartesian
-4.097 0.535 2.245
-7.498 0.707 0.545
-5.078 2.551 0.152
-5.818 1.736 -2.711
-6.059 4.568 -1.941
-7.740 3.539 1.315
-2.417 1.564 -1.011
-0.239 2.799 0.761
-4.339 3.367 3.015
-2.659 4.396 -0.241
-2.680 -0.782 2.032
-2.159 0.534 -2.642
-2.735 2.484 1.137
-4.113 3.245 -2.097
-6.044 1.858 2.400
-7.422 2.619 -0.834
-4.839 -0.248 -0.609
0.000 0.000 0.000
```